Here is an optimized crystal structure of LaPmY from Alexandria via LeMat-Bulk. Energies are from PBE.

abc: 5.8042 6.8020 6.8028
angles: 95.01 64.75 64.74
Closest atoms and distances in Å follow each position.
Fractional positions:
La 0.7459 0.7542 0.7540  2 La 3.50-3.62, 6 Y 3.78-3.80, 6 Pm 3.79-3.80
La 0.2541 0.2458 0.2460  2 La 3.50-3.62, 6 Y 3.78-3.80, 6 Pm 3.79-3.80
Pm 0.4996 0.6649 0.3359  1 Pm 3.30, 4 Y 3.36-3.56
Pm 0.5004 0.3351 0.6641  1 Pm 3.30, 4 Y 3.36-3.56
Y 0.0006 0.8324 0.1665  1 Y 3.35, 4 Pm 3.36-3.56
Y 0.9994 0.1676 0.8335  1 Y 3.35, 4 Pm 3.36-3.56

Properties
Energy, eV/cell: -31.95
Size of the total moment, μB per atom: 0.000
Fermi-level density of states, states/eV per atom: 1.578
Density, Mg/m³: 5.97
Energy relative to the elements, eV per atom: 0.056